1.
An optimized crystal structure of Fe2CoAs. Source: the Alexandria database, functional PBEsol.

Geometry as POSCAR:
```
Fe2CoAs
1.0
1.3594 0.7848 7.4806
-1.3594 0.7848 7.4806
0.0000 -1.5697 7.4806
Fe Co As
2 1 1
Cartesian
0.0000 0.0000 0.0000
0.0000 0.0000 5.6198
0.0000 0.0000 16.8163
0.0000 0.0000 11.2265
```

Computed properties:
Calculated total energy = -7.5009 eV per atom



2.
An optimized crystal structure of Fe2Co2As. Source: the Alexandria database, functional PBEsol.

Geometry as POSCAR:
```
Fe2Co2As
1.0
-1.5577 1.5577 6.1299
1.5577 -1.5577 6.1299
1.5577 1.5577 -6.1299
Fe Co As
2 2 1
Cartesian
1.5577 0.0000 3.0649
0.0000 1.5577 3.0649
0.0000 0.0000 1.2165
0.0000 0.0000 11.0433
0.0000 0.0000 6.1299
```

Computed properties:
Calculated total energy = -7.3358 eV per atom



3.
An optimized crystal structure of FeCoAs4. Source: the Alexandria database, functional PBEsol.

Geometry as POSCAR:
```
FeCoAs4
1.0
5.1811 0.0000 0.0000
0.0000 2.9209 0.0000
-0.0077 0.0000 5.8746
Fe Co As
1 1 4
Cartesian
0.0000 0.0000 0.0000
2.5867 1.4605 2.9373
0.9426 0.0000 2.1194
1.6375 1.4605 5.0632
3.5360 1.4605 0.8115
4.2308 0.0000 3.7552
```

Computed properties:
Calculated total energy = -6.5428 eV per atom



4.
An optimized crystal structure of Fe2CoAs. Source: the Alexandria database, functional PBEsol.

Geometry as POSCAR:
```
Fe2CoAs
1.0
1.3374 0.7721 7.6654
-1.3374 0.7721 7.6654
0.0000 -1.5443 7.6654
Fe Co As
2 1 1
Cartesian
0.0000 0.0000 5.7226
0.0000 0.0000 17.2736
0.0000 0.0000 11.4981
0.0000 0.0000 0.0000
```

Computed properties:
Calculated total energy = -7.4708 eV per atom



5.
An optimized crystal structure of TlFeCoAs2. Source: the Alexandria database, functional PBEsol.

Geometry as POSCAR:
```
TlFeCoAs2
1.0
4.3989 0.0000 0.0000
0.0000 4.3989 0.0000
0.0000 0.0000 5.0864
Tl Fe Co As
1 1 1 2
Cartesian
0.0000 0.0000 0.0000
2.1995 2.1995 0.0000
0.0000 0.0000 2.5432
0.0000 2.1995 2.5432
2.1995 0.0000 2.5432
```

Computed properties:
Calculated total energy = -5.1317 eV per atom



6.
An optimized crystal structure of VFeCoAs. Source: the Alexandria database, functional PBEsol.

Geometry as POSCAR:
```
VFeCoAs
1.0
0.0000 2.8423 2.8423
2.8423 0.0000 2.8423
2.8423 2.8423 0.0000
V Fe Co As
1 1 1 1
Cartesian
0.0000 0.0000 0.0000
1.4211 1.4211 1.4211
4.2634 4.2634 4.2634
2.8423 2.8423 2.8423
```

Computed properties:
Calculated total energy = -8.0007 eV per atom



| no. | formation enthalpy at 0 K (meV per atom) |
| --- | --- |
| 1 | 191.7 |
| 2 | 365.8 |
| 3 | -355.2 |
| 4 | 221.8 |
| 5 | 777.0 |
| 6 | -140.3 |